Here is a relaxed KLaAu2 crystal from Alexandria via LeMat-Bulk. Energies are from PBE.

```
KLaAu2
1.0
3.883 0.000 0.000
0.000 3.883 0.000
0.000 0.000 8.103
K La Au
1 1 2
direct
0.000 0.000 0.000
0.000 0.000 0.500
0.500 0.500 0.308
0.500 0.500 0.692
```

Summary:
theoretical density = 7.77 g/cm³
E_form = -0.585 eV/atom
total energy = -14.92 eV/cell
space-group type = P4/mmm, No. 123

---

Here is a relaxed FeNi crystal from Alexandria via LeMat-Bulk. Energies are from PBE.

```
FeNi
1.0
4.141 0.000 0.000
0.000 7.467 0.000
0.000 0.000 4.396
Fe Ni
6 6
direct
0.250 0.082 0.103
0.250 0.250 0.598
0.250 0.418 0.103
0.750 0.582 0.897
0.750 0.750 0.402
0.750 0.918 0.897
0.250 0.584 0.588
0.250 0.750 0.086
0.250 0.916 0.588
0.750 0.084 0.412
0.750 0.250 0.914
0.750 0.416 0.412
```

Summary:
theoretical density = 8.39 g/cm³
E_form = -0.004 eV/atom
total energy = -85.51 eV/cell
space-group type = Pmmn, No. 59

---

What is the formula in the second record? FeNi